4
Lattice="-0.851 -4.203 1.202 4.070 -0.863 -0.137 0.362 1.073 4.006" Properties=species:S:1:pos:R:3 comment="KPt2Se PBE-GGA relaxed" final_energy_ry_per_atom=-0.28431 magnetic_moment_mub_per_fu=0.00 pbc="T T T"
K -0.244 -1.565 2.604
Pt 0.000 0.000 0.000
Pt 2.216 0.105 1.934
Se 1.610 -2.533 0.533

11
Lattice="-4.916 4.740 -0.382 -2.031 -6.863 2.220 3.965 4.513 4.966" Properties=species:S:1:pos:R:3 comment="Ba2PuAu2S6 PBE-GGA relaxed" final_energy_ry_per_atom=-0.40882 magnetic_moment_mub_per_fu=2.76 pbc="T T T"
Ba -3.659 1.281 1.746
Ba 0.677 1.110 5.057
Pu -0.476 4.627 2.292
Au -3.331 1.903 5.242
Au 0.349 0.487 1.562
S -2.019 3.146 3.777
S -1.852 -4.159 2.841
S 1.328 4.180 4.154
S -1.130 6.550 3.962
S -4.310 -1.789 2.650
S -0.964 -0.755 3.026

4
Lattice="4.876 -0.001 0.000 1.150 4.739 0.000 -3.013 -2.369 3.014" Properties=species:S:1:pos:R:3 comment="P2OsPb PBE-GGA relaxed" final_energy_ry_per_atom=-0.40108 magnetic_moment_mub_per_fu=0.00 pbc="T T T"
Os 2.438 0.000 1.507
P 0.000 0.000 0.000
P 0.575 2.369 1.507
Pb 3.013 2.369 0.000

14
Lattice="-0.760 -4.009 5.032 -2.906 -5.487 -1.848 5.327 -4.727 -0.646" Properties=species:S:1:pos:R:3 comment="PmZnClF4 PBE-GGA relaxed" final_energy_ry_per_atom=-0.37939 magnetic_moment_mub_per_fu=0.00 pbc="T T T"
Pm 3.966 -6.342 0.126
Pm -2.305 -7.881 2.412
Zn 1.494 -9.392 1.552
Zn 0.166 -4.831 0.986
Cl 1.236 -1.126 -0.144
Cl 0.425 -13.096 2.682
F 1.895 -5.464 0.583
F -0.235 -8.759 1.955
F -0.678 -3.708 -0.439
F -1.055 -6.122 1.645
F 1.549 -11.059 0.446
F 0.112 -3.164 2.092
F 2.715 -8.100 0.894
F 2.338 -10.515 2.977

4
Lattice="-1.014 -1.782 2.101 0.152 -2.912 -0.345 7.468 -1.600 4.301" Properties=species:S:1:pos:R:3 comment="V2SnOs PBE-GGA relaxed" final_energy_ry_per_atom=-0.59763 magnetic_moment_mub_per_fu=0.00 pbc="T T T"
Os 0.000 0.000 0.000
Sn 3.303 -3.147 3.028
V 1.488 -1.573 1.436
V 5.118 -4.721 4.621

4
Lattice="4.808 0.001 0.000 -0.001 4.808 0.000 0.000 0.000 3.319" Properties=species:S:1:pos:R:3 comment="Ta2PbSe PBE-GGA relaxed" e_above_lowest_polymorph_mev_per_atom=451 final_energy_ry_per_atom=-0.53950 magnetic_moment_mub_per_fu=0.00 pbc="T T T"
Pb 2.404 0.000 1.660
Se 0.000 2.404 1.660
Ta 0.000 0.000 0.000
Ta 2.404 2.404 0.000